Entry 1:
Density functional theory data (GGA-PBE) for a relaxed structure of GeS3Br2.

Geometry as CIF:
```
data_GeS3Br2
_chemical_formula_sum 'Ge2 S6 Br4'
_space_group_name_H-M_alt 'P 1'
_space_group_IT_number 1
_cell_length_a 4.3074
_cell_length_b 9.3124
_cell_length_c 11.0755
_cell_angle_alpha 94.92
_cell_angle_beta 95.57
_cell_angle_gamma 90.30
loop_
_space_group_symop_operation_xyz
'x,y,z'
loop_
_atom_site_label
_atom_site_fract_x
_atom_site_fract_y
_atom_site_fract_z
_atom_site_occupancy
Ge1 0.0000 0.0000 0.0000 1
Ge2 0.4802 0.1113 0.9221 1
S1 0.0448 0.4502 0.6407 1
S2 0.0513 0.9805 0.2022 1
S3 0.1577 0.5535 0.3678 1
S4 0.3240 0.5574 0.5551 1
S5 0.4288 0.1306 0.7199 1
S6 0.4369 0.6606 0.2822 1
Br1 0.0380 0.2100 0.2761 1
Br2 0.4428 0.9010 0.6462 1
Br3 0.4906 0.3581 0.9845 1
Br4 0.9899 0.7531 0.9379 1
```

Properties
Its raw formation energy is -31 meV/atom. The volume is 440 Å³/cell. Its magnetic moment is 0.0 μB/f.u.

Entry 2:
Density functional theory data (GGA-PBE) for a relaxed structure of SrLiZnPb.

Geometry as CIF:
```
data_SrLiZnPb
_chemical_formula_sum 'Sr4 Li4 Zn4 Pb4'
_space_group_name_H-M_alt 'F -4 3 m'
_space_group_IT_number 216
_space_group_name_Hall 'F -4 2 3'
_cell_length_a 7.3554
_cell_length_b 7.3554
_cell_length_c 7.3554
_cell_angle_alpha 90.00
_cell_angle_beta 90.00
_cell_angle_gamma 90.00
loop_
_atom_site_label
_atom_site_fract_x
_atom_site_fract_y
_atom_site_fract_z
_atom_site_occupancy
Sr1 0.0000 0.0000 0.0000 1
Li1 0.2500 0.2500 0.2500 1
Zn1 0.2500 0.2500 0.7500 1
Pb1 0.0000 0.0000 0.5000 1
```

Properties
The volume is 398 Å³/cell. The energy of formation from the pure elements comes out at -0.243 eV per atom. Its magnetic moment is 0.0 μB/f.u.

Entry 3:
Density functional theory data (GGA-PBE) for a relaxed structure of YZnRe2.

Geometry as CIF:
```
data_YZnRe2
_chemical_formula_sum 'Y3 Zn3 Re6'
_space_group_name_H-M_alt 'R -3 m'
_space_group_IT_number 166
_space_group_name_Hall '-R 3 2"'
_cell_length_a 2.8433
_cell_length_b 2.8433
_cell_length_c 29.4324
_cell_angle_alpha 90.00
_cell_angle_beta 90.00
_cell_angle_gamma 120.00
loop_
_atom_site_label
_atom_site_fract_x
_atom_site_fract_y
_atom_site_fract_z
_atom_site_occupancy
Y1 0.0000 0.0000 0.0000 1
Zn1 0.0000 0.0000 0.5000 1
Re1 0.0000 0.0000 0.2413 1
```

Properties
The volume is 206 Å³/cell. The energy of formation from the pure elements comes out at 0.598 eV per atom. Its magnetic moment is 0.0 μB/f.u.

Entry 4:
Density functional theory data (GGA-PBE) for a relaxed structure of Na2MgSnPd.

Geometry as CIF:
```
data_Na2MgSnPd
_chemical_formula_sum 'Na2 Mg1 Sn1 Pd1'
_space_group_name_H-M_alt 'P 4/m m m'
_space_group_IT_number 123
_space_group_name_Hall '-P 4 2'
_cell_length_a 5.7408
_cell_length_b 5.7408
_cell_length_c 5.0121
_cell_angle_alpha 90.00
_cell_angle_beta 90.00
_cell_angle_gamma 90.00
loop_
_atom_site_label
_atom_site_fract_x
_atom_site_fract_y
_atom_site_fract_z
_atom_site_occupancy
Na1 0.0000 0.5000 0.0000 1
Mg1 0.0000 0.0000 0.5000 1
Sn1 0.5000 0.5000 0.0000 1
Pd1 0.5000 0.5000 0.5000 1
```

Properties
The volume is 165 Å³/cell. The energy of formation from the pure elements comes out at 0.279 eV per atom. Its magnetic moment is 0.0 μB/f.u.

Entry 5:
Density functional theory data (GGA-PBE) for a relaxed structure of PmErGa2Au2.

Geometry as CIF:
```
data_PmErGa2Au2
_chemical_formula_sum 'Pm1 Er1 Ga2 Au2'
_space_group_name_H-M_alt 'P -3 m 1'
_space_group_IT_number 164
_space_group_name_Hall '-P 3 2"'
_cell_length_a 4.5472
_cell_length_b 4.5472
_cell_length_c 7.2326
_cell_angle_alpha 90.00
_cell_angle_beta 90.00
_cell_angle_gamma 120.00
loop_
_atom_site_label
_atom_site_fract_x
_atom_site_fract_y
_atom_site_fract_z
_atom_site_occupancy
Pm1 0.0000 0.0000 0.0000 1
Er1 0.0000 0.0000 0.5000 1
Ga1 0.3333 0.6667 0.7350 1
Au1 0.3333 0.6667 0.2714 1
```

Properties
The volume is 130 Å³/cell. The energy of formation from the pure elements comes out at -0.784 eV per atom. Its magnetic moment is 0.0 μB/f.u.

Entry 6:
Density functional theory data (GGA-PBE) for a relaxed structure of Na3Ga4Bi4.

Geometry as CIF:
```
data_Na3Ga4Bi4
_chemical_formula_sum 'Na6 Ga8 Bi8'
_space_group_name_H-M_alt 'I m m m'
_space_group_IT_number 71
_space_group_name_Hall '-I 2 2'
_cell_length_a 4.5914
_cell_length_b 4.7701
_cell_length_c 31.6822
_cell_angle_alpha 90.00
_cell_angle_beta 90.00
_cell_angle_gamma 90.00
loop_
_atom_site_label
_atom_site_fract_x
_atom_site_fract_y
_atom_site_fract_z
_atom_site_occupancy
Na1 0.0000 0.0000 0.0000 1
Na2 0.0000 0.5000 0.3748 1
Ga1 0.0000 0.0000 0.4609 1
Ga2 0.0000 0.5000 0.1846 1
Bi1 0.0000 0.0000 0.2514 1
Bi2 0.0000 0.5000 0.0900 1
```

Properties
The volume is 694 Å³/cell. The energy of formation from the pure elements comes out at -0.036 eV per atom. Its magnetic moment is 0.0 μB/f.u.

Entry 7:
Density functional theory data (GGA-PBE) for a relaxed structure of LiCa2Zn.

Geometry as CIF:
```
data_LiCa2Zn
_chemical_formula_sum 'Li3 Ca6 Zn3'
_space_group_name_H-M_alt 'R 3 m'
_space_group_IT_number 160
_space_group_name_Hall 'R 3 -2"'
_cell_length_a 3.8614
_cell_length_b 3.8614
_cell_length_c 29.1472
_cell_angle_alpha 90.00
_cell_angle_beta 90.00
_cell_angle_gamma 120.00
loop_
_atom_site_label
_atom_site_fract_x
_atom_site_fract_y
_atom_site_fract_z
_atom_site_occupancy
Li1 0.0000 0.0000 0.0000 1
Ca1 0.0000 0.0000 0.2406 1
Ca2 0.0000 0.0000 0.4279 1
Zn1 0.0000 0.0000 0.8342 1
```

Properties
The volume is 376 Å³/cell. The energy of formation from the pure elements comes out at 0.016 eV per atom. Its magnetic moment is 0.0 μB/f.u.

Entry 8:
Density functional theory data (GGA-PBE) for a relaxed structure of Tc2RuBr.

Geometry as CIF:
```
data_Tc2RuBr
_chemical_formula_sum 'Tc4 Ru2 Br2'
_space_group_name_H-M_alt 'C m m 2'
_space_group_IT_number 35
_cell_length_a 2.8891
_cell_length_b 4.8374
_cell_length_c 9.2975
_cell_angle_alpha 90.00
_cell_angle_beta 90.00
_cell_angle_gamma 90.00
loop_
_space_group_symop_operation_xyz
'x,y,z'
'-x,-y,z'
'-x,y,z'
'x,-y,z'
'x+1/2,y+1/2,z'
'-x+1/2,-y+1/2,z'
'-x+1/2,y+1/2,z'
'x+1/2,-y+1/2,z'
loop_
_atom_site_label
_atom_site_fract_x
_atom_site_fract_y
_atom_site_fract_z
_atom_site_occupancy
Tc1 0.0000 0.0000 0.0000 1
Tc2 0.0000 0.5000 0.2309 1
Ru1 0.0000 0.0000 0.4649 1
Br1 0.0000 0.5000 0.7343 1
```

Properties
Its raw formation energy is 805 meV/atom. The volume is 130 Å³/cell. The polymorph energy (0 for the lowest one) comes out at 288 meV/atom. Its magnetic moment is 0.6 μB/f.u.

Entry 9:
Density functional theory data (GGA-PBE) for a relaxed structure of Cr2CoRe.

Geometry as CIF:
```
data_Cr2CoRe
_chemical_formula_sum 'Cr2 Co1 Re1'
_space_group_name_H-M_alt 'P m m m'
_space_group_IT_number 47
_cell_length_a 2.9893
_cell_length_b 4.0792
_cell_length_c 4.1214
_cell_angle_alpha 90.00
_cell_angle_beta 90.00
_cell_angle_gamma 90.00
loop_
_space_group_symop_operation_xyz
'x,y,z'
'-x,-y,-z'
'-x,-y,z'
'x,y,-z'
'x,-y,-z'
'-x,y,z'
'-x,y,-z'
'x,-y,z'
loop_
_atom_site_label
_atom_site_fract_x
_atom_site_fract_y
_atom_site_fract_z
_atom_site_occupancy
Cr1 0.0000 0.0000 0.0000 1
Cr2 0.5000 0.0000 0.5000 1
Co1 0.0000 0.5000 0.5000 1
Re1 0.5000 0.5000 0.0000 1
```

Properties
The volume is 50 Å³/cell. The energy of formation from the pure elements comes out at 0.128 eV per atom. Its magnetic moment is 3.0 μB/f.u.

Entry 10:
Density functional theory data (GGA-PBE) for a relaxed structure of PrSm4Hg7.

Geometry as CIF:
```
data_PrSm4Hg7
_chemical_formula_sum 'Pr2 Sm8 Hg14'
_space_group_name_H-M_alt 'C 1 2/m 1'
_space_group_IT_number 12
_cell_length_a 12.8615
_cell_length_b 5.6791
_cell_length_c 11.3468
_cell_angle_alpha 90.00
_cell_angle_beta 123.46
_cell_angle_gamma 90.00
loop_
_space_group_symop_operation_xyz
'x,y,z'
'-x,-y,-z'
'-x,y,-z'
'x,-y,z'
'x+1/2,y+1/2,z'
'-x+1/2,-y+1/2,-z'
'-x+1/2,y+1/2,-z'
'x+1/2,-y+1/2,z'
loop_
_atom_site_label
_atom_site_fract_x
_atom_site_fract_y
_atom_site_fract_z
_atom_site_occupancy
Pr1 0.0000 0.0000 0.0000 1
Sm1 0.0824 0.5000 0.7767 1
Sm2 0.2422 0.5000 0.3303 1
Hg1 0.0000 0.5000 0.0000 1
Hg2 0.0718 0.0000 0.3333 1
Hg3 0.1397 0.5000 0.5390 1
Hg4 0.2091 0.0000 0.9112 1
```

Properties
The volume is 691 Å³/cell. The energy of formation from the pure elements comes out at -0.323 eV per atom. Its magnetic moment is 0.0 μB/f.u.

Entry 11:
Density functional theory data (GGA-PBE) for a relaxed structure of HfAgS3.

Geometry as CIF:
```
data_HfAgS3
_chemical_formula_sum 'Hf1 Ag1 S3'
_space_group_name_H-M_alt 'P m -3 m'
_space_group_IT_number 221
_space_group_name_Hall '-P 4 2 3'
_cell_length_a 4.9373
_cell_length_b 4.9373
_cell_length_c 4.9373
_cell_angle_alpha 90.00
_cell_angle_beta 90.00
_cell_angle_gamma 90.00
loop_
_atom_site_label
_atom_site_fract_x
_atom_site_fract_y
_atom_site_fract_z
_atom_site_occupancy
Hf1 0.0000 0.0000 0.0000 1
Ag1 0.5000 0.5000 0.5000 1
S1 0.0000 0.0000 0.5000 1
```

Properties
Its raw formation energy is -461 meV/atom. The volume is 120 Å³/cell. Its magnetic moment is 0.0 μB/f.u.

Entry 12:
Density functional theory data (GGA-PBE) for a relaxed structure of TeWBr2.

Geometry as CIF:
```
data_TeWBr2
_chemical_formula_sum 'Te2 W2 Br4'
_space_group_name_H-M_alt 'C m m 2'
_space_group_IT_number 35
_cell_length_a 3.3052
_cell_length_b 5.5421
_cell_length_c 10.8893
_cell_angle_alpha 90.00
_cell_angle_beta 90.00
_cell_angle_gamma 90.00
loop_
_space_group_symop_operation_xyz
'x,y,z'
'-x,-y,z'
'-x,y,z'
'x,-y,z'
'x+1/2,y+1/2,z'
'-x+1/2,-y+1/2,z'
'-x+1/2,y+1/2,z'
'x+1/2,-y+1/2,z'
loop_
_atom_site_label
_atom_site_fract_x
_atom_site_fract_y
_atom_site_fract_z
_atom_site_occupancy
Te1 0.0000 0.0000 0.0000 1
W1 0.0000 0.5000 0.7973 1
Br1 0.0000 0.0000 0.6120 1
Br2 0.0000 0.5000 0.2985 1
```

Properties
Its raw formation energy is 497 meV/atom. The volume is 199 Å³/cell. The polymorph energy (0 for the lowest one) comes out at 551 meV/atom. Its magnetic moment is 0.0 μB/f.u.

N(E_F) for the records above, in order: 0.104 0.544 1.145 0.669 0.496 0.336 0.788 1.491 0.891 0.678 0.512 0.912 states/eV/atom